Material: KSnBiMo2
Method: DFT, PBEsol
State: optimized geometry

```
5
Lattice="4.658 0.000 0.000 0.000 4.658 0.000 0.000 0.000 5.566" Properties=species:S:1:pos:R:3 pbc="T T T"
K 0.000 0.000 0.000
Sn 2.329 2.329 2.783
Bi 0.000 0.000 2.783
Mo 0.000 2.329 0.000
Mo 2.329 0.000 0.000
```

Output
Space-group type: P4/mmm (123)
DFT total energy in eV/atom: -4.0052